[1]
A plane-wave DFT calculation with GGA-PBE was carried out for a relaxed structure of CeBeAlNi6.

Calculated values
* space group: Imma (74)
* calculated formation energy: -0.11 eV per atom

POSCAR file:
```
CeBeAlNi6
1.0
-3.0358 3.8296 5.1203
3.0358 -3.8296 5.1203
3.0358 3.8296 -5.1203
Ce Be Al Ni
2 2 2 12
direct
0.4625 0.2125 0.2500
0.5375 0.7875 0.7500
0.0000 0.0000 0.0000
0.5000 0.0000 0.5000
0.0000 0.0000 0.5000
0.0000 0.5000 0.0000
0.1226 0.4111 0.2970
0.1226 0.8256 0.7115
0.1748 0.9248 0.2500
0.2485 0.4985 0.7500
0.3859 0.1744 0.7970
0.3859 0.5889 0.2115
0.6141 0.4111 0.7885
0.6141 0.8256 0.2030
0.7515 0.5015 0.2500
0.8252 0.0752 0.7500
0.8774 0.1744 0.2885
0.8774 0.5889 0.7030
```

***

[2]
A plane-wave DFT calculation with GGA-PBE was carried out for a relaxed structure of Ce2BeAlO6.

Calculated values
* space group: P2_1/c (14)
* E_form (uncorrected): -30.4 eV per formula unit

POSCAR file:
```
Ce2BeAlO6
1.0
5.2530 0.0000 0.0000
0.0000 5.2892 0.0000
-5.2303 0.0000 7.4906
Ce Be Al O
4 2 2 12
direct
0.2432 0.0296 0.2496
0.2432 0.4704 0.7496
0.7568 0.5296 0.2504
0.7568 0.9704 0.7504
0.0000 0.0000 0.5000
0.0000 0.5000 0.0000
0.5000 0.0000 0.0000
0.5000 0.5000 0.5000
0.1790 0.2164 0.9645
0.1790 0.2836 0.4645
0.2469 0.7132 0.9647
0.2469 0.7868 0.4647
0.3171 0.0103 0.7493
0.3171 0.4897 0.2493
0.6829 0.5103 0.7507
0.6829 0.9897 0.2507
0.7531 0.2132 0.5353
0.7531 0.2868 0.0353
0.8210 0.7164 0.5355
0.8210 0.7836 0.0355
```

***

[3]
A plane-wave DFT calculation with GGA-PBE was carried out for a relaxed structure of Ce2BeAlPd6.

Calculated values
* space group: P-1 (2)
* calculated formation energy: -0.65 eV per atom

POSCAR file:
```
Ce2BeAlPd6
1.0
5.7966 0.0000 0.0000
2.8877 5.0462 0.0000
2.8623 1.5956 6.3841
Ce Be Al Pd
2 1 1 6
direct
0.2304 0.2382 0.3067
0.7696 0.7618 0.6933
0.0000 0.0000 0.0000
0.5000 0.5000 0.5000
0.2381 0.7082 0.8080
0.2421 0.2317 0.7887
0.2751 0.7698 0.2031
0.7249 0.2302 0.7969
0.7579 0.7683 0.2113
0.7619 0.2918 0.1920
```

***

[4]
A plane-wave DFT calculation with GGA-PBE was carried out for a relaxed structure of Ce2BeAl4Pt3.

Calculated values
* space group: P-4m2 (115)
* calculated formation energy: -0.88 eV per atom

POSCAR file:
```
Ce2BeAl4Pt3
1.0
4.2203 0.0000 0.0000
0.0000 4.2203 0.0000
0.0000 0.0000 10.4382
Ce Be Al Pt
2 1 4 3
direct
0.0000 0.5000 0.2447
0.5000 0.0000 0.7553
0.5000 0.5000 0.0000
0.0000 0.0000 0.5000
0.0000 0.5000 0.8749
0.5000 0.0000 0.1251
0.5000 0.5000 0.5000
0.0000 0.0000 0.0000
0.0000 0.5000 0.6360
0.5000 0.0000 0.3640
```

***

[5]
A plane-wave DFT calculation with GGA-PBE was carried out for a relaxed structure of CeBeAlPt3.

Calculated values
* space group: Cmcm (63)
* calculated formation energy: -0.77 eV per atom

POSCAR file:
```
CeBeAlPt3
1.0
3.4234 -5.9394 0.0000
3.4234 5.9394 0.0000
0.0000 0.0000 5.5397
Ce Be Al Pt
2 2 2 6
direct
0.2109 0.7891 0.7500
0.7891 0.2109 0.2500
0.1064 0.8936 0.2500
0.8936 0.1064 0.7500
0.4948 0.5052 0.7500
0.5052 0.4948 0.2500
0.2018 0.2018 0.0000
0.2018 0.2018 0.5000
0.2931 0.7069 0.2500
0.7069 0.2931 0.7500
0.7982 0.7982 0.0000
0.7982 0.7982 0.5000
```

***

[6]
A plane-wave DFT calculation with GGA-PBE was carried out for a relaxed structure of CeBe2AlPt5.

Calculated values
* space group: P4/mmm (123)
* calculated formation energy: -0.74 eV per atom

POSCAR file:
```
CeBe2AlPt5
1.0
4.0422 0.0000 0.0000
0.0000 4.0422 0.0000
0.0000 0.0000 9.4309
Ce Be Al Pt
1 2 1 5
direct
0.0000 0.0000 0.0000
0.5000 0.5000 0.2339
0.5000 0.5000 0.7661
0.0000 0.0000 0.5000
0.0000 0.5000 0.3356
0.0000 0.5000 0.6644
0.5000 0.0000 0.3356
0.5000 0.0000 0.6644
0.5000 0.5000 0.0000
```

***

[7]
A plane-wave DFT calculation with GGA-PBE was carried out for a relaxed structure of CeBeAl2Pt4.

Calculated values
* space group: R-3m (166)
* calculated formation energy: -1.01 eV per atom

POSCAR file:
```
CeBeAl2Pt4
1.0
2.1149 1.2210 8.5566
-2.1149 1.2210 8.5566
0.0000 -2.4421 8.5566
Ce Be Al Pt
1 1 2 4
direct
0.0000 0.0000 0.0000
0.5000 0.5000 0.5000
0.2381 0.2381 0.2381
0.7619 0.7619 0.7619
0.1365 0.1365 0.1365
0.4053 0.4053 0.4053
0.5947 0.5947 0.5947
0.8635 0.8635 0.8635
```

***

[8]
A plane-wave DFT calculation with GGA-PBE was carried out for a relaxed structure of Ce2Be3AlPt4.

Calculated values
* space group: P-4m2 (115)
* calculated formation energy: -0.89 eV per atom

POSCAR file:
```
Ce2Be3AlPt4
1.0
4.0629 0.0000 0.0000
0.0000 4.0629 0.0000
0.0000 0.0000 10.0621
Ce Be Al Pt
2 3 1 4
direct
0.0000 0.5000 0.2449
0.5000 0.0000 0.7551
0.0000 0.5000 0.8823
0.5000 0.0000 0.1177
0.5000 0.5000 0.5000
0.0000 0.0000 0.5000
0.0000 0.0000 0.0000
0.0000 0.5000 0.6434
0.5000 0.0000 0.3566
0.5000 0.5000 0.0000
```

***

[9]
A plane-wave DFT calculation with GGA-PBE was carried out for a relaxed structure of CeBe2AlPt4.

Calculated values
* space group: R-3m (166)
* calculated formation energy: -0.85 eV per atom

POSCAR file:
```
CeBe2AlPt4
1.0
2.0498 1.1835 8.6762
-2.0498 1.1835 8.6762
0.0000 -2.3669 8.6762
Ce Be Al Pt
1 2 1 4
direct
0.0000 0.0000 0.0000
0.2393 0.2393 0.2393
0.7607 0.7607 0.7607
0.5000 0.5000 0.5000
0.1320 0.1320 0.1320
0.4025 0.4025 0.4025
0.5975 0.5975 0.5975
0.8680 0.8680 0.8680
```

***

[10]
A plane-wave DFT calculation with GGA-PBE was carried out for a relaxed structure of CeScBeAl.

Calculated values
* space group: F-43m (216)
* calculated formation energy: -0.11 eV per atom

POSCAR file:
```
CeScBeAl
1.0
0.0000 3.4227 3.4227
3.4227 0.0000 3.4227
3.4227 3.4227 0.0000
Ce Sc Be Al
1 1 1 1
direct
0.0000 0.0000 0.0000
0.5000 0.5000 0.5000
0.7500 0.7500 0.7500
0.2500 0.2500 0.2500
```

***

[11]
A plane-wave DFT calculation with GGA-PBE was carried out for a relaxed structure of CeBeAlZn.

Calculated values
* space group: F-43m (216)
* calculated formation energy: -0.12 eV per atom

POSCAR file:
```
CeBeAlZn
1.0
0.0000 3.2799 3.2799
3.2799 0.0000 3.2799
3.2799 3.2799 0.0000
Ce Be Al Zn
1 1 1 1
direct
0.0000 0.0000 0.0000
0.2500 0.2500 0.2500
0.5000 0.5000 0.5000
0.7500 0.7500 0.7500
```

***

[12]
A plane-wave DFT calculation with GGA-PBE was carried out for a relaxed structure of BeAl2Cl.

Calculated values
* space group: P4mm (99)
* offset from the most stable computed form: 230 meV per atom
* E_form (uncorrected): 0.5 eV per formula unit

POSCAR file:
```
BeAl2Cl
1.0
2.8478 0.0000 0.0000
0.0000 2.8478 0.0000
0.0000 0.0000 9.4929
Be Al Cl
1 2 1
direct
0.0000 0.0000 0.0000
0.0000 0.0000 0.5771
0.5000 0.5000 0.8056
0.5000 0.5000 0.1340
```

***

[13]
A plane-wave DFT calculation with GGA-PBE was carried out for a relaxed structure of BeAl2Cl.

Calculated values
* space group: I-42d (122)
* offset from the most stable computed form: 386 meV per atom
* E_form (uncorrected): 1.1 eV per formula unit

POSCAR file:
```
BeAl2Cl
1.0
-2.8030 2.8030 5.8119
2.8030 -2.8030 5.8119
2.8030 2.8030 -5.8119
Be Al Cl
2 4 2
direct
0.0000 0.0000 0.0000
0.7500 0.2500 0.5000
0.0539 0.6250 0.9289
0.3750 0.3039 0.4289
0.6961 0.1250 0.0711
0.8750 0.9461 0.5711
0.2500 0.7500 0.5000
0.5000 0.5000 0.0000
```

***

[14]
A plane-wave DFT calculation with GGA-PBE was carried out for a relaxed structure of BeAl2Cl.

Calculated values
* space group: C2/m (12)
* offset from the most stable computed form: 300 meV per atom
* E_form (uncorrected): 0.8 eV per formula unit

POSCAR file:
```
BeAl2Cl
1.0
3.6582 -3.4513 0.0000
3.6582 3.4513 0.0000
-1.0701 0.0000 2.7099
Be Al Cl
1 2 1
direct
0.0000 0.0000 0.0000
0.0000 0.5000 0.5000
0.5000 0.0000 0.5000
0.5000 0.5000 0.0000
```

***

[15]
A plane-wave DFT calculation with GGA-PBE was carried out for a relaxed structure of BeAl2Cl4.

Calculated values
* space group: I4/mmm (139)
* E_form (uncorrected): -4.0 eV per formula unit

POSCAR file:
```
BeAl2Cl4
1.0
-2.4100 2.4100 7.3044
2.4100 -2.4100 7.3044
2.4100 2.4100 -7.3044
Be Al Cl
1 2 4
direct
0.0000 0.0000 0.0000
0.3710 0.3710 0.0000
0.6290 0.6290 0.0000
0.0000 0.5000 0.5000
0.1441 0.1441 0.0000
0.5000 0.0000 0.5000
0.8559 0.8559 0.0000
```

***

[16]
A plane-wave DFT calculation with GGA-PBE was carried out for a relaxed structure of Be2Al2Cl.

Calculated values
* space group: P4/mbm (127)
* offset from the most stable computed form: 0 meV per atom
* E_form (uncorrected): 1.3 eV per formula unit

POSCAR file:
```
Be2Al2Cl
1.0
7.1577 0.0000 0.0000
0.0000 7.1577 0.0000
0.0000 0.0000 2.9183
Be Al Cl
4 4 2
direct
0.1034 0.3966 0.0000
0.3966 0.8966 0.0000
0.6034 0.1034 0.0000
0.8966 0.6034 0.0000
0.1912 0.6912 0.5000
0.3088 0.1912 0.5000
0.6912 0.8088 0.5000
0.8088 0.3088 0.5000
0.0000 0.0000 0.0000
0.5000 0.5000 0.0000
```

***

[17]
A plane-wave DFT calculation with GGA-PBE was carried out for a relaxed structure of BeAl3Cl.

Calculated values
* space group: Pm-3m (221)
* offset from the most stable computed form: 862 meV per atom
* E_form (uncorrected): 5.4 eV per formula unit

POSCAR file:
```
BeAl3Cl
1.0
4.9150 0.0000 0.0000
0.0000 4.9150 0.0000
0.0000 0.0000 4.9150
Be Al Cl
1 3 1
direct
0.0000 0.0000 0.0000
0.0000 0.5000 0.5000
0.5000 0.0000 0.5000
0.5000 0.5000 0.0000
0.5000 0.5000 0.5000
```

***

[18]
A plane-wave DFT calculation with GGA-PBE was carried out for a relaxed structure of BeAl2Cl.

Calculated values
* space group: F-43m (216)
* offset from the most stable computed form: 718 meV per atom
* E_form (uncorrected): 2.4 eV per formula unit

POSCAR file:
```
BeAl2Cl
1.0
0.0000 3.2938 3.2938
3.2938 0.0000 3.2938
3.2938 3.2938 0.0000
Be Al Cl
1 2 1
direct
0.0000 0.0000 0.0000
0.2500 0.2500 0.2500
0.5000 0.5000 0.5000
0.7500 0.7500 0.7500
```

***

[19]
A plane-wave DFT calculation with GGA-PBE was carried out for a relaxed structure of BeAl2Cl.

Calculated values
* space group: Cm (8)
* offset from the most stable computed form: 129 meV per atom
* E_form (uncorrected): 0.1 eV per formula unit

POSCAR file:
```
BeAl2Cl
1.0
7.1674 -1.6485 0.0000
7.1674 1.6485 0.0000
-0.6096 0.0000 3.0195
Be Al Cl
1 2 1
direct
0.0000 0.0000 0.0000
0.3761 0.3761 0.8490
0.5635 0.5635 0.5561
0.7307 0.7307 0.7133
```

***

[20]
A plane-wave DFT calculation with GGA-PBE was carried out for a relaxed structure of BeAl2Cl.

Calculated values
* space group: Immm (71)
* offset from the most stable computed form: 369 meV per atom
* E_form (uncorrected): 1.0 eV per formula unit

POSCAR file:
```
BeAl2Cl
1.0
-1.4523 2.6255 4.3385
1.4523 -2.6255 4.3385
1.4523 2.6255 -4.3385
Be Al Cl
1 2 1
direct
0.0000 0.0000 0.0000
0.2347 0.7347 0.5000
0.7653 0.2653 0.5000
0.5000 0.5000 0.0000
```

***

[21]
A plane-wave DFT calculation with GGA-PBE was carried out for a relaxed structure of BeAlCl.

Calculated values
* space group: P3m1 (156)
* offset from the most stable computed form: 0 meV per atom
* E_form (uncorrected): -0.3 eV per formula unit

POSCAR file:
```
BeAlCl
1.0
3.0181 0.0000 0.0000
-1.5090 2.6137 0.0000
0.0000 0.0000 7.7395
Be Al Cl
1 1 1
direct
0.0000 0.0000 0.0000
0.3333 0.6667 0.7368
0.6667 0.3333 0.1589
```

***

[22]
A plane-wave DFT calculation with GGA-PBE was carried out for a relaxed structure of BeAl2Cl.

Calculated values
* space group: Cmm2 (35)
* offset from the most stable computed form: 98 meV per atom
* E_form (uncorrected): 0.0 eV per formula unit

POSCAR file:
```
BeAl2Cl
1.0
1.4953 -2.6436 0.0000
1.4953 2.6436 0.0000
0.0000 0.0000 9.8337
Be Al Cl
1 2 1
direct
0.0000 0.0000 0.0000
0.0000 0.0000 0.5502
0.5000 0.5000 0.7910
0.5000 0.5000 0.1392
```

***

[23]
A plane-wave DFT calculation with GGA-PBE was carried out for a relaxed structure of BeAl2Cl.

Calculated values
* space group: Pmmm (47)
* offset from the most stable computed form: 406 meV per atom
* E_form (uncorrected): 1.2 eV per formula unit

POSCAR file:
```
BeAl2Cl
1.0
2.8567 0.0000 0.0000
0.0000 4.5160 0.0000
0.0000 0.0000 5.2651
Be Al Cl
1 2 1
direct
0.0000 0.0000 0.0000
0.0000 0.5000 0.5000
0.5000 0.5000 0.0000
0.5000 0.0000 0.5000
```

***

[24]
A plane-wave DFT calculation with GGA-PBE was carried out for a relaxed structure of BeAl2Cl.

Calculated values
* space group: P4/mmm (123)
* offset from the most stable computed form: 376 meV per atom
* E_form (uncorrected): 1.1 eV per formula unit

POSCAR file:
```
BeAl2Cl
1.0
4.8637 0.0000 0.0000
0.0000 4.8637 0.0000
0.0000 0.0000 2.8083
Be Al Cl
1 2 1
direct
0.0000 0.0000 0.0000
0.0000 0.5000 0.5000
0.5000 0.0000 0.5000
0.5000 0.5000 0.0000
```

***

[25]
A plane-wave DFT calculation with GGA-PBE was carried out for a relaxed structure of BeAl2Cl.

Calculated values
* space group: C2/m (12)
* offset from the most stable computed form: 359 meV per atom
* E_form (uncorrected): 1.0 eV per formula unit

POSCAR file:
```
BeAl2Cl
1.0
5.5859 -1.4190 0.0000
5.5859 1.4190 0.0000
-1.0082 0.0000 4.3736
Be Al Cl
1 2 1
direct
0.0000 0.0000 0.0000
0.3093 0.3093 0.7714
0.6907 0.6907 0.2286
0.5000 0.5000 0.5000
```

***

[26]
A plane-wave DFT calculation with GGA-PBE was carried out for a relaxed structure of BeAl2Cl.

Calculated values
* space group: Cmmm (65)
* offset from the most stable computed form: 315 meV per atom
* E_form (uncorrected): 0.8 eV per formula unit

POSCAR file:
```
BeAl2Cl
1.0
1.5855 -2.6886 0.0000
1.5855 2.6886 0.0000
0.0000 0.0000 7.8118
Be Al Cl
1 2 1
direct
0.0000 0.0000 0.0000
0.5000 0.5000 0.2254
0.5000 0.5000 0.7746
0.0000 0.0000 0.5000
```

***

Calculated E in order - -5.45 -7.95 -5.70 -5.75 -6.02 -6.00 -6.18 -5.98 -6.01 -5.05 -3.79 -3.14 -2.99 -3.07 -3.22 -3.09 -2.28 -2.65 -3.24 -3.00 -3.21 -3.27 -2.97 -3.00 -3.01 -3.06 eV per atom